Entry 1:
Entry from the Alexandria database: crystalline La2Ga3Pd4Pb at its relaxed geometry (PBE-GGA).

Unit cell a=4.3990 b=4.3990 c=10.9066 alpha=90.00 beta=90.00 gamma=90.00
With the nearest neighbours (Å) after each atom.
Space group P-4m2 (No. 115)
Symmetry-distinct sites (fractional):
La 0.0000 0.5000 0.2427 (multiplicity 2)  8 Pd 3.31-3.44, 6 Ga 3.39-3.57, 2 Pb 3.57
Ga 0.0000 0.5000 0.8818 (multiplicity 2)  5 Pd 2.48-2.55
Ga 0.5000 0.5000 0.5000 (multiplicity 1)  4 Pd 2.77
Pd 0.0000 0.0000 0.0000 (multiplicity 1)  4 Ga 2.55
Pd 0.0000 0.5000 0.6543 (multiplicity 2)  3 Ga 2.48-2.77, 2 Pb 2.77
Pd 0.5000 0.5000 0.0000 (multiplicity 1)  4 Ga 2.55
Pb 0.0000 0.0000 0.5000 (multiplicity 1)  4 Pd 2.77

- calculated volume (Å³ per atom) = 21.11
- D(E_F) (states/eV/cell) = 6.607
- formation energy (meV/atom) = -749

---

Entry 2:
Entry from the Alexandria database: crystalline LaPrGaPb at its relaxed geometry (PBE-GGA).

Unit cell a=7.7714 b=7.7714 c=7.7714 alpha=90.00 beta=90.00 gamma=90.00
With the nearest neighbours (Å) after each atom.
Space group F-43m (No. 216)
Symmetry-distinct sites (fractional):
La 0.0000 0.0000 0.0000 (multiplicity 4)  4 Pb 3.37, 4 Ga 3.37
Pr 0.0000 0.0000 0.5000 (multiplicity 4)  4 Pb 3.37, 4 Ga 3.37
Ga 0.2500 0.2500 0.7500 (multiplicity 4)  4 La 3.37, 4 Pr 3.37
Pb 0.2500 0.2500 0.2500 (multiplicity 4)  4 La 3.37, 4 Pr 3.37

- calculated volume (Å³ per atom) = 29.33
- D(E_F) (states/eV/cell) = 8.624
- formation energy (meV/atom) = -496

---

Entry 3:
Entry from the Alexandria database: crystalline La2GaPtPb at its relaxed geometry (PBE-GGA).

Unit cell a=5.6696 b=5.6696 c=4.8137 alpha=90.00 beta=90.00 gamma=90.00
With the nearest neighbours (Å) after each atom.
Space group P4/mmm (No. 123)
Symmetry-distinct sites (fractional):
La 0.0000 0.5000 0.0000 (multiplicity 2)  2 Pt 2.83
Ga 0.0000 0.0000 0.5000 (multiplicity 1)  2 Pt 2.41
Pt 0.0000 0.0000 0.0000 (multiplicity 1)  2 Ga 2.41
Pb 0.5000 0.5000 0.5000 (multiplicity 1)  8 La 3.72, 4 Ga 4.01

- calculated volume (Å³ per atom) = 30.95
- D(E_F) (states/eV/cell) = 3.357
- formation energy (meV/atom) = -669

---

Entry 4:
Entry from the Alexandria database: crystalline LaPuGaPb at its relaxed geometry (PBE-GGA).

Unit cell a=7.6731 b=7.6731 c=7.6731 alpha=90.00 beta=90.00 gamma=90.00
With the nearest neighbours (Å) after each atom.
Space group F-43m (No. 216)
Symmetry-distinct sites (fractional):
La 0.0000 0.0000 0.0000 (multiplicity 4)  4 Pb 3.32, 4 Ga 3.32
Pu 0.0000 0.0000 0.5000 (multiplicity 4)  4 Pb 3.32, 4 Ga 3.32
Ga 0.2500 0.2500 0.7500 (multiplicity 4)  4 La 3.32, 4 Pu 3.32
Pb 0.2500 0.2500 0.2500 (multiplicity 4)  4 La 3.32, 4 Pu 3.32

- calculated volume (Å³ per atom) = 28.24
- D(E_F) (states/eV/cell) = 43.583
- formation energy (meV/atom) = -295

---

Entry 5:
Entry from the Alexandria database: crystalline RbLaGaPb2 at its relaxed geometry (PBE-GGA).

Unit cell a=5.6460 b=5.6460 c=5.6779 alpha=90.00 beta=90.00 gamma=90.00
With the nearest neighbours (Å) after each atom.
Space group P4/mmm (No. 123)
Symmetry-distinct sites (fractional):
Rb 0.0000 0.0000 0.0000 (multiplicity 1)  2 Ga 2.84
La 0.5000 0.5000 0.0000 (multiplicity 1)  4 Rb 3.99, 8 Pb 4.00
Ga 0.0000 0.0000 0.5000 (multiplicity 1)  4 Pb 2.82, 2 Rb 2.84
Pb 0.0000 0.5000 0.5000 (multiplicity 2)  2 Ga 2.82

- calculated volume (Å³ per atom) = 36.20
- D(E_F) (states/eV/cell) = 3.914
- formation energy (meV/atom) = 255

---

Entry 6:
Entry from the Alexandria database: crystalline LaGa2RhPb at its relaxed geometry (PBE-GGA).

Unit cell a=5.5480 b=5.5480 c=6.0251 alpha=90.00 beta=90.00 gamma=90.00
With the nearest neighbours (Å) after each atom.
Space group P4/mmm (No. 123)
Symmetry-distinct sites (fractional):
La 0.0000 0.0000 0.0000 (multiplicity 1)  4 Ga 2.77, 2 Pb 3.01
Ga 0.0000 0.5000 0.0000 (multiplicity 2)  2 La 2.77
Rh 0.5000 0.5000 0.5000 (multiplicity 1)  4 Pb 3.92, 8 Ga 4.10
Pb 0.0000 0.0000 0.5000 (multiplicity 1)  2 La 3.01

- calculated volume (Å³ per atom) = 37.09
- D(E_F) (states/eV/cell) = 7.873
- formation energy (meV/atom) = 1339

---

Entry 7:
Entry from the Alexandria database: crystalline La2GaRuPb at its relaxed geometry (PBE-GGA).

Unit cell a=5.4117 b=5.4117 c=4.9088 alpha=90.00 beta=90.00 gamma=90.00
With the nearest neighbours (Å) after each atom.
Space group P4/mmm (No. 123)
Symmetry-distinct sites (fractional):
La 0.0000 0.5000 0.0000 (multiplicity 2)  2 Ru 2.71
Ga 0.0000 0.0000 0.5000 (multiplicity 1)  2 Ru 2.45
Ru 0.0000 0.0000 0.0000 (multiplicity 1)  2 Ga 2.45, 4 La 2.71
Pb 0.5000 0.5000 0.5000 (multiplicity 1)  8 La 3.65, 4 Ga 3.83

- calculated volume (Å³ per atom) = 28.75
- D(E_F) (states/eV/cell) = 5.573
- formation energy (meV/atom) = -447

---

Entry 8:
Entry from the Alexandria database: crystalline LaGaPbS4 at its relaxed geometry (PBE-GGA).

Unit cell a=6.7237 b=6.6747 c=8.1154 alpha=90.00 beta=107.07 gamma=90.00
With the nearest neighbours (Å) after each atom.
Space group P2_1/m (No. 11)
Symmetry-distinct sites (fractional):
La 0.2332 0.2500 0.0607 (multiplicity 2)  6 S 2.86-3.01
Ga 0.2340 0.7500 0.8068 (multiplicity 2)  4 S 2.26-2.30
Pb 0.2525 0.2500 0.5693 (multiplicity 2)  6 S 2.96-3.20
S 0.0028 0.0084 0.7568 (multiplicity 4)  1 Ga 2.28
S 0.4266 0.7500 0.0919 (multiplicity 2)  1 Ga 2.30
S 0.4317 0.7500 0.6251 (multiplicity 2)  1 Ga 2.26

- calculated volume (Å³ per atom) = 24.87
- uncorrected formation energy (eV per formula unit) = -7.9
- D(E_F) (states/eV/cell) = 0.000

---

Entry 9:
Entry from the Alexandria database: crystalline LaSmGaPb at its relaxed geometry (PBE-GGA).

Unit cell a=7.7050 b=7.7050 c=7.7050 alpha=90.00 beta=90.00 gamma=90.00
With the nearest neighbours (Å) after each atom.
Space group F-43m (No. 216)
Symmetry-distinct sites (fractional):
La 0.0000 0.0000 0.0000 (multiplicity 4)  4 Pb 3.34, 4 Ga 3.34
Sm 0.0000 0.0000 0.5000 (multiplicity 4)  4 Pb 3.34, 4 Ga 3.34
Ga 0.2500 0.2500 0.7500 (multiplicity 4)  4 La 3.34, 4 Sm 3.34
Pb 0.2500 0.2500 0.2500 (multiplicity 4)  4 La 3.34, 4 Sm 3.34

- calculated volume (Å³ per atom) = 28.59
- D(E_F) (states/eV/cell) = 8.710
- formation energy (meV/atom) = -491

---

Entry 10:
Entry from the Alexandria database: crystalline LaTbGaPb at its relaxed geometry (PBE-GGA).

Unit cell a=7.6543 b=7.6543 c=7.6543 alpha=90.00 beta=90.00 gamma=90.00
With the nearest neighbours (Å) after each atom.
Space group F-43m (No. 216)
Symmetry-distinct sites (fractional):
La 0.0000 0.0000 0.0000 (multiplicity 4)  4 Pb 3.31, 4 Ga 3.31
Tb 0.0000 0.0000 0.5000 (multiplicity 4)  4 Ga 3.31, 4 Pb 3.31
Ga 0.2500 0.2500 0.2500 (multiplicity 4)  4 Tb 3.31, 4 La 3.31
Pb 0.2500 0.2500 0.7500 (multiplicity 4)  4 Tb 3.31, 4 La 3.31

- calculated volume (Å³ per atom) = 28.03
- D(E_F) (states/eV/cell) = 8.262
- formation energy (meV/atom) = -481

---

Entry 11:
Entry from the Alexandria database: crystalline LaTiGa2Pb at its relaxed geometry (PBE-GGA).

Unit cell a=5.6237 b=5.6237 c=5.0281 alpha=90.00 beta=90.00 gamma=90.00
With the nearest neighbours (Å) after each atom.
Space group P4/mmm (No. 123)
Symmetry-distinct sites (fractional):
La 0.0000 0.0000 0.0000 (multiplicity 1)  2 Ti 2.51, 4 Ga 2.81
Ti 0.0000 0.0000 0.5000 (multiplicity 1)  2 La 2.51
Ga 0.0000 0.5000 0.0000 (multiplicity 2)  2 La 2.81
Pb 0.5000 0.5000 0.5000 (multiplicity 1)  8 Ga 3.77, 4 Ti 3.98

- calculated volume (Å³ per atom) = 31.80
- D(E_F) (states/eV/cell) = 5.705
- formation energy (meV/atom) = 949

---

Entry 12:
Entry from the Alexandria database: crystalline La2GaPd2 at its relaxed geometry (PBE-GGA).

Unit cell a=5.8092 b=5.8092 c=7.9848 alpha=90.00 beta=90.00 gamma=90.00
With the nearest neighbours (Å) after each atom.
Space group I4/mmm (No. 139)
Symmetry-distinct sites (fractional):
La 0.0000 0.5000 0.2500 (multiplicity 4)  4 Pd 2.98
Ga 0.0000 0.0000 0.0000 (multiplicity 2)  2 Pd 2.67
Pd 0.0000 0.0000 0.3338 (multiplicity 4)  1 Pd 2.65, 1 Ga 2.67

- calculated volume (Å³ per atom) = 26.95
- D(E_F) (states/eV/cell) = 12.291
- formation energy (meV/atom) = -646

---

What did the twelfth record say?
Entry from the Alexandria database: crystalline La2GaPd2 at its relaxed geometry (PBE-GGA).

Unit cell a=5.8092 b=5.8092 c=7.9848 alpha=90.00 beta=90.00 gamma=90.00
With the nearest neighbours (Å) after each atom.
Space group I4/mmm (No. 139)
Symmetry-distinct sites (fractional):
La 0.0000 0.5000 0.2500 (multiplicity 4)  4 Pd 2.98
Ga 0.0000 0.0000 0.0000 (multiplicity 2)  2 Pd 2.67
Pd 0.0000 0.0000 0.3338 (multiplicity 4)  1 Pd 2.65, 1 Ga 2.67

- calculated volume (Å³ per atom) = 26.95
- D(E_F) (states/eV/cell) = 12.291
- formation energy (meV/atom) = -646

---

- Which value of D(E_F) does entry 3 give?
  3.357 states/eV/cell